No. 1
## KCuP2Se8 (PBE)

Data for a relaxed structure of KCuP2Se8.

Cell lengths 5.7064, 5.7064, 12.3525 Å; angles 76.65, 76.65, 60.00 degrees
Closest atoms and distances in Å follow each position.
Element x y z (fractional)
K  0.5000  0.5000  0.5000  6 Se 3.50
Cu  0.0000  0.0000  0.0000  6 Se 2.55
P  0.2597  0.2597  0.2208  4 Se 2.15-2.32
P  0.7403  0.7403  0.7792  4 Se 2.15-2.32
Se  0.1995  0.1995  0.4014  1 P 2.15
Se  0.6478  0.3057  0.1437  1 P 2.32, 1 Cu 2.55
Se  0.8005  0.8005  0.5986  1 P 2.15
Se  0.9028  0.6478  0.1437  1 P 2.32, 1 Cu 2.55
Se  0.0972  0.3522  0.8563  1 P 2.32, 1 Cu 2.55
Se  0.3057  0.9028  0.1437  1 P 2.32, 1 Cu 2.55
Se  0.6943  0.0972  0.8563  1 P 2.32, 1 Cu 2.55
Se  0.3522  0.6943  0.8563  1 P 2.32, 1 Cu 2.55

Results
Final energy = -3.782 eV per atom
Formation energy from raw total energies = -1.5 eV per formula unit

No. 2
## EuSbPt4 (PBE)

Data for a relaxed structure of EuSbPt4.

Cell lengths 5.4579, 5.4579, 5.4579 Å; angles 60.00, 60.00, 60.00 degrees
Closest atoms and distances in Å follow each position.
Element x y z (fractional)
Eu  0.2500  0.2500  0.2500  12 Pt 3.20, 4 Sb 3.34
Sb  0.0000  0.0000  0.0000  12 Pt 3.20, 4 Eu 3.34
Pt  0.6251  0.6251  0.1247  6 Pt 2.73
Pt  0.6251  0.1247  0.6251  6 Pt 2.73
Pt  0.6251  0.6251  0.6251  6 Pt 2.73
Pt  0.1247  0.6251  0.6251  6 Pt 2.73

Results
Final energy = -6.996 eV per atom
Formation energy from raw total energies = -3.4 eV per formula unit

No. 3
## GaFe2H (PBE)

Data for a relaxed structure of GaFe2H.

Cell lengths 5.5481, 5.5481, 4.7390 Å; angles 54.17, 54.17, 90.00 degrees
Closest atoms and distances in Å follow each position.
Element x y z (fractional)
H  0.5000  0.5000  0.0000  4 Fe 1.71
H  0.2500  0.7500  0.5000  4 Fe 1.71
Fe  0.5110  0.1250  0.2500  2 H 1.71
Fe  0.2390  0.6250  0.2500  2 H 1.71
Fe  0.3750  0.4890  0.7500  2 H 1.71
Fe  0.8750  0.7610  0.7500  2 H 1.71
Ga  0.0000  0.0000  0.0000  8 Fe 2.54, 2 H 2.66
Ga  0.7500  0.2500  0.5000  8 Fe 2.54, 2 H 2.66

Results
Final energy = -5.768 eV per atom
Excess energy over the best structure of this formula in the dataset = 0.117 eV per atom

No. 4
## ScFe2Cl2 (PBE)

Data for a relaxed structure of ScFe2Cl2.

Cell lengths 5.9264, 5.9264, 5.9264 Å; angles 138.74, 138.74, 59.77 degrees
Closest atoms and distances in Å follow each position.
Element x y z (fractional)
Sc  0.0000  0.0000  0.0000  8 Fe 3.15, 8 Cl 3.31
Fe  0.6079  0.6079  0.0000  1 Fe 2.22
Fe  0.3921  0.3921  0.0000  1 Fe 2.22
Cl  0.2500  0.7500  0.5000  4 Fe 2.55
Cl  0.7500  0.2500  0.5000  4 Fe 2.55

Results
Final energy = -5.445 eV per atom
Formation energy from raw total energies = -0.3 eV per formula unit